Material: UGa2Si
Method: DFT, PBE
State: optimized geometry

abc: 4.086 4.086 4.358
angles: 90.00 90.00 90.00
Fractional coordinates of all 4 atoms:
U: 0.000 0.000 0.000
Ga: 0.000 0.500 0.500
Ga: 0.500 0.000 0.500
Si: 0.500 0.500 0.000

Properties
VASP energy: -23.85 eV for the cell shown
N(E_F): 5.09 states/eV/cell
Energy relative to the lowest polymorph listed for this composition: 0.0 meV/atom

=====

Material: BaLi2SiRh
Method: DFT, PBE
State: optimized geometry

abc: 4.944 4.944 4.612
angles: 90.00 90.00 90.00
Fractional coordinates of all 5 atoms:
Ba: 0.000 0.000 0.000
Li: 0.000 0.500 0.500
Li: 0.500 0.000 0.500
Si: 0.500 0.500 0.000
Rh: 0.500 0.500 0.500

Properties
VASP energy: -20.18 eV for the cell shown
N(E_F): 2.08 states/eV/cell

=====

Material: Pm4MgAu7
Method: DFT, PBE
State: optimized geometry

abc: 7.795 7.795 9.230
angles: 119.85 119.85 37.90
Fractional coordinates of all 12 atoms:
Pm: 0.062 0.062 0.248
Pm: 0.230 0.230 0.757
Pm: 0.770 0.770 0.243
Pm: 0.938 0.938 0.752
Mg: 0.500 0.500 0.500
Au: 0.000 0.000 0.500
Au: 0.170 0.170 0.047
Au: 0.309 0.309 0.506
Au: 0.406 0.406 0.147
Au: 0.594 0.594 0.853
Au: 0.691 0.691 0.494
Au: 0.830 0.830 0.953

Properties
VASP energy: -51.70 eV for the cell shown
DFT formation energy: -0.68 eV per atom
N(E_F): 8.08 states/eV/cell

=====

Material: In3HgS3
Method: DFT, PBE
State: optimized geometry

abc: 9.663 9.663 5.689
angles: 90.00 90.00 128.21
Fractional coordinates of all 14 atoms:
In: 0.148 0.852 0.750
In: 0.203 0.344 0.750
In: 0.344 0.203 0.250
In: 0.656 0.797 0.750
In: 0.797 0.656 0.250
In: 0.852 0.148 0.250
Hg: 0.306 0.694 0.750
Hg: 0.694 0.306 0.250
S: 0.135 0.865 0.250
S: 0.192 0.346 0.250
S: 0.346 0.192 0.750
S: 0.654 0.808 0.250
S: 0.808 0.654 0.750
S: 0.865 0.135 0.750

Properties
VASP energy: -46.19 eV for the cell shown
N(E_F): 1.69 states/eV/cell